The following is a DFT calculation (meta-GGA SCAN) of a PBEsol-optimized structure of Dy3ReB7.

formation enthalpy at 0 K = -0.676 eV per atom
SG = Cmcm

Cell lengths 3.4970, 8.0327, 9.2933 Å; angles 90.00, 90.00, 102.57 degrees
Closest atoms and distances in Å follow each position.
Fractional coordinates of all 22 atoms:
Re 0.9470 0.8939 0.2500  10 B 2.31-2.34
Re 0.0530 0.1061 0.7500  10 B 2.31-2.34
B 0.2729 0.5458 0.0325  3 B 1.84-1.98
B 0.7271 0.4542 0.9675  3 B 1.84-1.98
B 0.2729 0.5458 0.4675  3 B 1.84-1.98
B 0.7271 0.4542 0.5325  3 B 1.84-1.98
B 0.3676 0.7351 0.3497  3 B 1.83-1.85
B 0.6324 0.2649 0.6503  3 B 1.83-1.85
B 0.3676 0.7351 0.1503  3 B 1.83-1.85
B 0.6324 0.2649 0.8497  3 B 1.83-1.85
B 0.4795 0.9589 0.4051  3 B 1.76-1.88
B 0.5205 0.0411 0.5949  3 B 1.76-1.88
B 0.4795 0.9589 0.0949  3 B 1.76-1.88
B 0.5205 0.0411 0.9051  3 B 1.76-1.88
B 0.5434 0.0868 0.2500  2 B 1.76
B 0.4566 0.9132 0.7500  2 B 1.76
Dy 0.1054 0.2107 0.0598  11 B 2.63-2.73
Dy 0.8946 0.7893 0.9402  11 B 2.63-2.73
Dy 0.1054 0.2107 0.4402  11 B 2.63-2.73
Dy 0.8946 0.7893 0.5598  11 B 2.63-2.73
Dy 0.7575 0.5151 0.2500  10 B 2.63-2.68
Dy 0.2425 0.4849 0.7500  10 B 2.63-2.68

***

The following is a DFT calculation (meta-GGA SCAN) of a PBEsol-optimized structure of DyB4Rh4.

formation enthalpy at 0 K = -0.683 eV per atom
SG = P4_2/nmc

Cell lengths 5.2742, 5.2742, 7.3607 Å; angles 90.00, 90.00, 90.00 degrees
Closest atoms and distances in Å follow each position.
Fractional coordinates of all 18 atoms:
Dy 0.0000 0.0000 0.0000  12 Rh 2.92-3.14, 12 B 3.00-3.11
Dy 0.5000 0.5000 0.5000  12 Rh 2.92-3.14, 12 B 3.00-3.11
B 0.8297 0.5000 0.1497  1 B 1.80
B 0.1703 0.5000 0.1497  1 B 1.80
B 0.0000 0.3297 0.6497  1 B 1.80
B 0.0000 0.6703 0.6497  1 B 1.80
B 0.6703 0.0000 0.3503  1 B 1.80
B 0.3297 0.0000 0.3503  1 B 1.80
B 0.5000 0.1703 0.8503  1 B 1.80
B 0.5000 0.8297 0.8503  1 B 1.80
Rh 0.2514 0.5000 0.8549  5 B 2.18-2.21
Rh 0.7486 0.5000 0.8549  5 B 2.18-2.21
Rh 0.0000 0.7514 0.3549  5 B 2.18-2.21
Rh 0.0000 0.2486 0.3549  5 B 2.18-2.21
Rh 0.2486 0.0000 0.6451  5 B 2.18-2.21
Rh 0.7514 0.0000 0.6451  5 B 2.18-2.21
Rh 0.5000 0.7486 0.1451  5 B 2.18-2.21
Rh 0.5000 0.2514 0.1451  5 B 2.18-2.21

***

The following is a DFT calculation (meta-GGA SCAN) of a PBEsol-optimized structure of DyB2Rh3.

formation enthalpy at 0 K = -0.838 eV per atom
SG = P6/mmm

Cell lengths 3.1053, 5.3410, 5.3410 Å; angles 120.00, 90.00, 90.00 degrees
Closest atoms and distances in Å follow each position.
Fractional coordinates of all 6 atoms:
B 0.5000 0.6667 0.3333  6 Rh 2.19
B 0.5000 0.3333 0.6667  6 Rh 2.19
Rh 0.0000 0.5000 0.0000  4 B 2.19
Rh 0.0000 0.5000 0.5000  4 B 2.19
Rh 0.0000 0.0000 0.5000  4 B 2.19
Dy 0.5000 0.0000 0.0000  6 B 3.08, 12 Rh 3.09, 2 Dy 3.11

***

The following is a DFT calculation (meta-GGA SCAN) of a PBEsol-optimized structure of Dy2B6Ru.

formation enthalpy at 0 K = -0.759 eV per atom
SG = Pbam

Cell lengths 3.6156, 9.0859, 11.4432 Å; angles 90.00, 90.00, 90.00 degrees
Closest atoms and distances in Å follow each position.
Fractional coordinates of all 36 atoms:
Dy 0.0000 0.3226 0.4140  14 B 2.70-2.78
Dy 0.0000 0.6774 0.5860  14 B 2.70-2.78
Dy 0.0000 0.8226 0.0860  14 B 2.70-2.78
Dy 0.0000 0.1774 0.9140  14 B 2.70-2.78
Dy 0.0000 0.9434 0.3720  12 B 2.57-2.60, 2 Ru 2.83-2.84
Dy 0.0000 0.0566 0.6280  12 B 2.57-2.60, 2 Ru 2.83-2.84
Dy 0.0000 0.4434 0.1280  12 B 2.57-2.60, 2 Ru 2.83-2.84
Dy 0.0000 0.5566 0.8720  12 B 2.57-2.60, 2 Ru 2.83-2.84
B 0.5000 0.5538 0.4329  3 B 1.77-1.82
B 0.5000 0.4462 0.5671  3 B 1.77-1.82
B 0.5000 0.0538 0.0671  3 B 1.77-1.82
B 0.5000 0.9462 0.9329  3 B 1.77-1.82
B 0.5000 0.7477 0.4198  3 B 1.77-1.82
B 0.5000 0.2523 0.5802  3 B 1.77-1.82
B 0.5000 0.2477 0.0802  3 B 1.77-1.82
B 0.5000 0.7523 0.9198  3 B 1.77-1.82
B 0.5000 0.7905 0.2664  3 B 1.72-1.86
B 0.5000 0.2095 0.7336  3 B 1.72-1.86
B 0.5000 0.2905 0.2336  3 B 1.72-1.86
B 0.5000 0.7095 0.7664  3 B 1.72-1.86
B 0.5000 0.6315 0.1854  3 B 1.72-1.79
B 0.5000 0.3685 0.8146  3 B 1.72-1.79
B 0.5000 0.1315 0.3146  3 B 1.72-1.79
B 0.5000 0.8685 0.6854  3 B 1.72-1.79
B 0.5000 0.9834 0.2125  3 B 1.78-1.86
B 0.5000 0.0166 0.7875  3 B 1.78-1.86
B 0.5000 0.4834 0.2875  3 B 1.78-1.86
B 0.5000 0.5166 0.7125  3 B 1.78-1.86
B 0.5000 0.6083 0.0299  2 B 1.79-1.82
B 0.5000 0.3917 0.9701  2 B 1.79-1.82
B 0.5000 0.1083 0.4701  2 B 1.79-1.82
B 0.5000 0.8917 0.5299  2 B 1.79-1.82
Ru 0.0000 0.6378 0.3212  10 B 2.32-2.38
Ru 0.0000 0.3622 0.6788  10 B 2.32-2.38
Ru 0.0000 0.1378 0.1788  10 B 2.32-2.38
Ru 0.0000 0.8622 0.8212  10 B 2.32-2.38

***

The following is a DFT calculation (meta-GGA SCAN) of a PBEsol-optimized structure of Dy5Si2B8.

formation energy without anion corrections = -730 meV/atom
SG = P4/mbm

Cell lengths 7.1819, 7.1819, 7.9805 Å; angles 90.00, 90.00, 90.00 degrees
Closest atoms and distances in Å follow each position.
Fractional coordinates of all 30 atoms:
Dy 0.6810 0.1810 0.2239  8 B 2.61-2.72
Dy 0.3190 0.8190 0.7761  8 B 2.61-2.72
Dy 0.3190 0.8190 0.2239  8 B 2.61-2.72
Dy 0.8190 0.6810 0.2239  8 B 2.61-2.72
Dy 0.8190 0.6810 0.7761  8 B 2.61-2.72
Dy 0.6810 0.1810 0.7761  8 B 2.61-2.72
Dy 0.1810 0.3190 0.7761  8 B 2.61-2.72
Dy 0.1810 0.3190 0.2239  8 B 2.61-2.72
Dy 0.0000 0.0000 0.5000  2 B 2.68, 4 Si 2.88
Dy 0.5000 0.5000 0.5000  2 B 2.68, 4 Si 2.88
Si 0.1155 0.6155 0.5000  1 Si 2.35
Si 0.8845 0.3845 0.5000  1 Si 2.35
Si 0.3845 0.1155 0.5000  1 Si 2.35
Si 0.6155 0.8845 0.5000  1 Si 2.35
B 0.1726 0.0395 0.0000  5 B 1.74-1.82
B 0.8274 0.9605 0.0000  5 B 1.74-1.82
B 0.9605 0.1726 0.0000  5 B 1.74-1.82
B 0.3274 0.5395 0.0000  5 B 1.74-1.82
B 0.0395 0.8274 0.0000  5 B 1.74-1.82
B 0.6726 0.4605 0.0000  5 B 1.74-1.82
B 0.5395 0.6726 0.0000  5 B 1.74-1.82
B 0.4605 0.3274 0.0000  5 B 1.74-1.82
B 0.0902 0.5902 0.0000  3 B 1.74-1.83
B 0.9098 0.4098 0.0000  3 B 1.74-1.83
B 0.4098 0.0902 0.0000  3 B 1.74-1.83
B 0.5902 0.9098 0.0000  3 B 1.74-1.83
B 0.0000 0.0000 0.1636  4 B 1.82
B 0.0000 0.0000 0.8364  4 B 1.82
B 0.5000 0.5000 0.8364  4 B 1.82
B 0.5000 0.5000 0.1636  4 B 1.82

***

The following is a DFT calculation (meta-GGA SCAN) of a PBEsol-optimized structure of DyVB4.

formation enthalpy at 0 K = -0.775 eV per atom
SG = Pbam

Cell lengths 3.3952, 5.9698, 11.5625 Å; angles 90.00, 90.00, 90.00 degrees
Closest atoms and distances in Å follow each position.
Fractional coordinates of all 24 atoms:
B 0.5000 0.7859 0.1858  3 B 1.81-1.85
B 0.5000 0.2141 0.8142  3 B 1.81-1.85
B 0.5000 0.2859 0.3142  3 B 1.81-1.85
B 0.5000 0.7141 0.6858  3 B 1.81-1.85
B 0.5000 0.8645 0.0328  3 B 1.76-1.83
B 0.5000 0.1355 0.9672  3 B 1.76-1.83
B 0.5000 0.3645 0.4672  3 B 1.76-1.83
B 0.5000 0.6355 0.5328  3 B 1.76-1.83
B 0.5000 0.8852 0.4526  3 B 1.76
B 0.5000 0.1148 0.5474  3 B 1.76
B 0.5000 0.3852 0.0474  3 B 1.76
B 0.5000 0.6148 0.9526  3 B 1.76
B 0.5000 0.9769 0.3077  3 B 1.76-1.85
B 0.5000 0.0231 0.6923  3 B 1.76-1.85
B 0.5000 0.4769 0.1923  3 B 1.76-1.85
B 0.5000 0.5231 0.8077  3 B 1.76-1.85
V 0.0000 0.6274 0.0830  10 B 2.27-2.30, 1 V 2.45
V 0.0000 0.3726 0.9170  10 B 2.27-2.30, 1 V 2.45
V 0.0000 0.1274 0.4170  10 B 2.27-2.30, 1 V 2.45
V 0.0000 0.8726 0.5830  10 B 2.27-2.30, 1 V 2.45
Dy 0.0000 0.6244 0.3486  14 B 2.60-2.75
Dy 0.0000 0.3756 0.6514  14 B 2.60-2.75
Dy 0.0000 0.1244 0.1514  14 B 2.60-2.75
Dy 0.0000 0.8756 0.8486  14 B 2.60-2.75

***

The following is a DFT calculation (meta-GGA SCAN) of a PBEsol-optimized structure of ErB2.

formation enthalpy at 0 K = -0.709 eV per atom
SG = P6/mmm

Cell lengths 3.2480, 3.2480, 3.7625 Å; angles 90.00, 90.00, 120.00 degrees
Closest atoms and distances in Å follow each position.
Fractional coordinates of all 3 atoms:
B 0.3333 0.6667 0.5000  3 B 1.88
B 0.6667 0.3333 0.5000  3 B 1.88
Er 0.0000 0.0000 0.0000  12 B 2.66

***

The following is a DFT calculation (meta-GGA SCAN) of a PBEsol-optimized structure of ErB6.

formation enthalpy at 0 K = -0.416 eV per atom
SG = Pm-3m

Cell lengths 4.0642, 4.0642, 4.0642 Å; angles 90.00, 90.00, 90.00 degrees
Closest atoms and distances in Å follow each position.
Fractional coordinates of all 7 atoms:
B 0.8014 0.5000 0.5000  5 B 1.61-1.73
B 0.1986 0.5000 0.5000  5 B 1.61-1.73
B 0.5000 0.5000 0.8014  5 B 1.61-1.73
B 0.5000 0.5000 0.1986  5 B 1.61-1.73
B 0.5000 0.1986 0.5000  5 B 1.61-1.73
B 0.5000 0.8014 0.5000  5 B 1.61-1.73
Er 0.0000 0.0000 0.0000  24 B 2.98

***

So what do the calculations give for DOS at the Fermi energy? Going down the list: 7.4; 8.2; 1.5; 3.1; 7.7; 4.1; 0.8; 0.9 states/eV per cell.
So what do the calculations give for volume? Going down the list: 254.8; 204.8; 76.7; 375.9; 411.6; 234.4; 34.4; 67.1 Å³/cell.